[1]
The following is a PBE-GGA calculation of an optimized crystal structure of Na4Os, from the Alexandria database.

Calculated values
- Crystal system: cubic

```
Na4Os
1.0
-1.7762 3.9743 -3.7277
-1.1215 -4.1034 -3.8406
-5.3323 -0.4609 2.0495
Na Os
4 1
Direct
0.0000 0.0000 0.0000 Na
0.5000 0.0000 0.5000 Na
0.0000 0.5000 0.5000 Na
0.5000 0.5000 0.0000 Na
0.5000 0.5000 0.5000 Os
```

[2]
The following is a PBE-GGA calculation of an optimized crystal structure of NaOs, from the Alexandria database.

Calculated values
- Polymorph energy (0 for the lowest one): 2513 meV per atom
- Crystal system: hexagonal

```
NaOs
1.0
-3.8932 -1.5989 2.7436
3.9388 -3.0218 -0.7718
2.4611 2.0158 4.6671
Na Os
2 2
Direct
0.3333 0.6667 0.2500 Na
0.6667 0.3333 0.7500 Na
0.3333 0.6667 0.7500 Os
0.6667 0.3333 0.2500 Os
```

[3]
The following is a PBE-GGA calculation of an optimized crystal structure of NaOs, from the Alexandria database.

Calculated values
- Polymorph energy (0 for the lowest one): 413 meV per atom
- Crystal system: orthorhombic

```
NaOs
1.0
4.8612 0.0000 0.0000
0.0000 9.4057 0.0000
0.0000 0.0000 4.3030
Na Os
6 6
Direct
0.0000 0.8348 0.5000 Na
0.0000 0.1652 0.5000 Na
0.5000 0.3348 0.5000 Na
0.5000 0.6652 0.5000 Na
0.0000 0.0000 0.0000 Na
0.5000 0.5000 0.0000 Na
0.0000 0.3451 0.0000 Os
0.0000 0.6549 0.0000 Os
0.5000 0.8451 0.0000 Os
0.5000 0.1549 0.0000 Os
0.5000 0.0000 0.5000 Os
0.0000 0.5000 0.5000 Os
```

no.,uncorrected energy (eV per cell),ρ (g/cm3)
1,-11.0,2.489
2,-13.1,5.735
3,-64.4,10.798